[1]
Compound: CsMg3Al
Source: Alexandria
Functional: GGA-PBE
Structure: relaxed

Unit cell a=5.614 b=5.614 c=5.614 alpha=90.00 beta=90.00 gamma=90.00
Fractional coordinates of all 5 atoms:
Cs1 0.000 0.000 0.000
Mg1 0.000 0.500 0.500
Mg2 0.500 0.000 0.500
Mg3 0.500 0.500 0.000
Al1 0.500 0.500 0.500

Properties
N(E_F)	0.773	states/eV/atom
energy relative to the elements	311	meV per atom
symmetry	No. 221
offset from the most stable computed form	0	meV/atom

***

[2]
Compound: La2OsAuN
Source: Alexandria
Functional: GGA-PBE
Structure: relaxed

Unit cell a=5.325 b=5.325 c=3.838 alpha=90.00 beta=90.00 gamma=90.00
Fractional coordinates of all 5 atoms:
La1 0.000 0.500 0.000
La2 0.500 0.000 0.000
Os1 0.000 0.000 0.500
Au1 0.500 0.500 0.500
N1 0.000 0.000 0.000

Properties
N(E_F)	0.552	states/eV/atom
symmetry	No. 123

***

[3]
Compound: Ba5Mo
Source: Alexandria
Functional: GGA-PBE
Structure: relaxed

Unit cell a=7.701 b=7.701 c=7.701 alpha=60.00 beta=60.00 gamma=60.00
Fractional coordinates of all 6 atoms:
Ba1 0.000 0.000 0.000
Ba2 0.129 0.624 0.624
Ba3 0.624 0.129 0.624
Ba4 0.624 0.624 0.129
Ba5 0.624 0.624 0.624
Mo1 0.250 0.250 0.250

Properties
N(E_F)	1.624	states/eV/atom
energy relative to the elements	930	meV per atom
symmetry	No. 216
offset from the most stable computed form	398	meV/atom

***

[4]
Compound: TmSiGe
Source: Alexandria
Functional: GGA-PBE
Structure: relaxed

Unit cell a=3.807 b=3.881 c=4.399 alpha=90.00 beta=90.00 gamma=90.00
Fractional coordinates of all 3 atoms:
Tm1 0.000 0.000 0.000
Si1 0.500 0.000 0.500
Ge1 0.000 0.500 0.500

Properties
N(E_F)	0.294	states/eV/atom
symmetry	No. 47
offset from the most stable computed form	177	meV/atom

***

[5]
Compound: LaGa2Pb2
Source: Alexandria
Functional: GGA-PBE
Structure: relaxed

Unit cell a=8.593 b=8.593 c=3.696 alpha=90.00 beta=90.00 gamma=90.00
Fractional coordinates of all 10 atoms:
La1 0.000 0.000 0.000
La2 0.500 0.500 0.000
Ga1 0.163 0.337 0.500
Ga2 0.337 0.837 0.500
Ga3 0.663 0.163 0.500
Ga4 0.837 0.663 0.500
Pb1 0.133 0.633 0.000
Pb2 0.367 0.133 0.000
Pb3 0.633 0.867 0.000
Pb4 0.867 0.367 0.000

Properties
N(E_F)	0.471	states/eV/atom
energy relative to the elements	-131	meV per atom
symmetry	No. 127
offset from the most stable computed form	138	meV/atom

***

[6]
Compound: Zr2ZnP
Source: Alexandria
Functional: GGA-PBE
Structure: relaxed

Unit cell a=3.789 b=5.382 c=5.382 alpha=40.47 beta=90.00 gamma=90.00
Fractional coordinates of all 4 atoms:
Zr1 0.000 0.000 0.000
Zr2 0.500 0.297 0.297
Zn1 0.000 0.726 0.726
P1 0.500 0.570 0.570

Properties
N(E_F)	0.533	states/eV/atom
energy relative to the elements	-825	meV per atom
symmetry	No. 38

***

In Å³/cell, the volume values for the records above are, in order, 177; 109; 323; 65; 273; 71.
In Ry per atom, the DFT total energy values for the records above are, in order, -0.11503; -0.53682; -0.18210; -0.38396; -0.28010; -0.49762.